InCoHg2 | GGA-PBE | relaxed

Values from the calculation:
Formation enthalpy at 0 K (meV per atom): 417
Space group: No. 10
E_tot (eV per cell): -8.8

```
InCoHg2
1.0
3.156 0.000 0.000
0.000 5.210 0.000
-0.367 0.000 5.031
In Co Hg
1 1 2
Direct
0.000 0.000 0.000
0.500 0.000 0.500
0.252 0.500 0.259
0.748 0.500 0.741
```